The following is a PBE calculation of a relaxed structure of MoCl2, from the Alexandria database.

E above lowest polymorph = 987 meV/atom
space group = Fm-3m, No. 225
crystal system = cubic
energy = -14.38 eV/cell
total moment = 0.00 μB per cell

Structure (extended XYZ):
```
3
Lattice="-3.501 2.323 0.543 -3.759 -1.514 -1.232 -2.874 -1.145 2.894" Properties=species:S:1:pos:R:3 pbc="T T T"
Mo 0.000 0.000 0.000
Cl -2.533 -0.084 0.551
Cl -7.600 -0.252 1.653
```